DFT (PBE+U) results for a geometry-optimized FeBi2F structure.

Values from the calculation:
The calculation puts the energy above the most stable polymorph in this dataset at 0.000 eV/atom. Its density of states at the Fermi level is 1.65 states/eV/f.u. The total magnetization comes out at 3.0 μB/f.u.

```
data_FeBi2F
_cell_length_a 6.8847
_cell_length_b 6.8847
_cell_length_c 6.8847
_cell_angle_alpha 90.00
_cell_angle_beta 90.00
_cell_angle_gamma 90.00
_symmetry_space_group_name_H-M 'F m -3 m'
_symmetry_Int_Tables_number 225
_symmetry_space_group_name_Hall '-F 4 2 3'
loop_
_atom_site_label
_atom_site_fract_x
_atom_site_fract_y
_atom_site_fract_z
Fe1 0.0000 0.0000 0.0000
Bi1 0.2500 0.2500 0.2500
F1 0.0000 0.0000 0.5000
```